VASP calculation (GGA-PBE) on crystalline Sm2Dy3Al3 at its relaxed geometry.

The energy above the lowest structure with this stoichiometry comes out at 0.00 eV per formula unit. Its formation energy is -281 meV per atom.

The space group is Immm (No. 71) and the conventional cell measures 3.704, 5.149 and 21.820 Å, with angles of 90.00, 90.00 and 90.00 degrees. The asymmetric unit holds Sm at (0.000, 0.000, 0.229), Dy at (0.000, 0.000, 0.000), Dy at (0.000, 0.500, 0.118), Al at (0.000, 0.000, 0.500) and Al at (0.000, 0.500, 0.386).